Record 1
A plane-wave DFT calculation with GGA-PBE was carried out for an optimized crystal structure of V3HgMo.

Unit cell a=4.581 b=4.581 c=4.581 alpha=90.00 beta=90.00 gamma=90.00
Sites, in units of the cell vectors:
V1 0.000 0.000 0.500
V2 0.500 0.000 0.000
V3 0.000 0.500 0.000
Hg1 0.500 0.500 0.500
Mo1 0.000 0.000 0.000

Values from the calculation:
**Volume**: 96.12 Å³ per cell
**Calculated formation energy**: 1.190 eV per atom

***

Record 2
A plane-wave DFT calculation with GGA-PBE was carried out for an optimized crystal structure of BeAgSe2.

Unit cell a=3.274 b=4.469 c=7.171 alpha=120.91 beta=90.00 gamma=90.00
Sites, in units of the cell vectors:
Be1 0.500 0.750 0.750
Se1 0.000 0.725 0.966
Se2 0.000 0.775 0.534
Ag1 0.500 0.250 0.250

Values from the calculation:
**Volume**: 90.01 Å³ per cell
**Total energy**: -3.41 eV/atom

***

Record 3
A plane-wave DFT calculation with GGA-PBE was carried out for an optimized crystal structure of Ca2TeSe.

Unit cell a=4.974 b=5.834 c=3.841 alpha=90.00 beta=90.00 gamma=90.00
Sites, in units of the cell vectors:
Se1 0.500 0.000 0.500
Ca1 0.500 0.500 0.000
Ca2 0.000 0.000 0.000
Te1 0.000 0.500 0.500

Values from the calculation:
**Volume**: 111.46 Å³ per cell
**Total energy**: -4.14 eV/atom

***

Record 4
A plane-wave DFT calculation with GGA-PBE was carried out for an optimized crystal structure of GdMgCoRu.

Unit cell a=4.591 b=4.591 c=4.591 alpha=60.00 beta=60.00 gamma=60.00
Sites, in units of the cell vectors:
Gd1 0.500 0.500 0.500
Ru1 0.750 0.750 0.750
Co1 0.250 0.250 0.250
Mg1 0.000 0.000 0.000

Values from the calculation:
**Volume**: 68.43 Å³ per cell
**Calculated formation energy**: 0.017 eV per atom